# 1
Entry from Alexandria via LeMat-Bulk: an optimized crystal structure of ZnInCo3 (GGA-PBEsol).

## Properties
M_tot = 4.2 μB per cell
Energy of formation from the pure elements = 1.705 eV per atom
Electronic total energy = -3.850 eV/atom
Calculated volume = 96.1 Å³/f.u.

Lattice parameters (Å, degrees): 4.5801 4.5801 4.5801 90.00 90.00 90.00
Last column: magnetic moment on the atom in μB.
Sites, in units of the cell vectors:
Zn: 0.5000 0.5000 0.5000  -0.04
In: 0.0000 0.0000 0.0000  -0.12
Co: 0.5000 0.0000 0.0000  1.51
Co: 0.0000 0.5000 0.0000  1.51
Co: 0.0000 0.0000 0.5000  1.51

# 2
Entry from Alexandria via LeMat-Bulk: an optimized crystal structure of ZrInCo4 (GGA-PBEsol).

## Properties
M_tot = 2.6 μB per cell
Energy of formation from the pure elements = -0.237 eV per atom
Electronic total energy = -7.408 eV/atom
Calculated volume = 78.3 Å³/f.u.

Lattice parameters (Å, degrees): 4.8017 4.8017 4.8017 60.00 60.00 60.00
Last column: magnetic moment on the atom in μB.
Sites, in units of the cell vectors:
Co: 0.3755 0.3755 0.3755  0.74
Co: 0.3755 0.3755 0.8735  0.74
Co: 0.3755 0.8735 0.3755  0.74
Zr: 0.0000 0.0000 0.0000  -0.18
Co: 0.8735 0.3755 0.3755  0.74
In: 0.7500 0.7500 0.7500  -0.03

# 3
Entry from Alexandria via LeMat-Bulk: an optimized crystal structure of ZrInCo (GGA-PBEsol).

## Properties
M_tot = 0.0 μB per cell
Energy of formation from the pure elements = -0.120 eV per atom
Electronic total energy = -6.723 eV/atom
Calculated volume = 51.8 Å³/f.u.

Lattice parameters (Å, degrees): 3.0635 4.4183 4.4183 120.00 90.00 90.00
Sites, in units of the cell vectors:
In: 0.8199 0.6667 0.3333
Zr: 0.3194 0.3333 0.6667
Co: 0.8607 0.0000 0.0000

# 4
Entry from Alexandria via LeMat-Bulk: an optimized crystal structure of ZrInCo2 (GGA-PBEsol).

## Properties
M_tot = 0.3 μB per cell
Energy of formation from the pure elements = 0.013 eV per atom
Electronic total energy = -6.874 eV/atom
Calculated volume = 61.7 Å³/f.u.

Lattice parameters (Å, degrees): 3.1913 3.6027 5.3653 90.00 90.00 90.00
Last column: magnetic moment on the atom in μB.
Sites, in units of the cell vectors:
Co: 0.5000 0.5000 0.2554  0.50
Co: 0.0000 0.0000 0.9783  -0.16
Zr: 0.5000 0.5000 0.8085  0.00
In: 0.0000 0.0000 0.4578  -0.01

# 5
Entry from Alexandria via LeMat-Bulk: an optimized crystal structure of ZrInCo (GGA-PBEsol).

## Properties
M_tot = 0.4 μB per cell
Energy of formation from the pure elements = 0.622 eV per atom
Electronic total energy = -5.981 eV/atom
Calculated volume = 62.8 Å³/f.u.

Lattice parameters (Å, degrees): 4.4607 4.4607 4.4607 60.00 60.00 60.00
Last column: magnetic moment on the atom in μB.
Sites, in units of the cell vectors:
Zr: 0.7500 0.7500 0.7500  -0.08
Co: 0.0000 0.0000 0.0000  0.56
In: 0.5000 0.5000 0.5000  -0.01

# 6
Entry from Alexandria via LeMat-Bulk: an optimized crystal structure of ZrInCo2 (GGA-PBEsol).

## Properties
M_tot = 0.0 μB per cell
Energy of formation from the pure elements = -0.113 eV per atom
Electronic total energy = -6.999 eV/atom
Calculated volume = 59.5 Å³/f.u.

Lattice parameters (Å, degrees): 3.6774 3.6783 5.1079 111.10 111.10 90.00
Sites, in units of the cell vectors:
Zr: 0.2500 0.7500 0.5001
In: 0.5000 0.5000 0.0000
Co: 0.0000 0.0000 0.0000
Co: 0.7500 0.2500 0.4999